A relaxed Rb3Fe crystal, computed with GGA-PBE.

Cell: 6.053 6.042 6.038 Å, 90.00 90.00 90.00°
Element x y z (fractional)
Fe1 0.000 0.000 0.000
Rb1 0.500 0.500 0.000
Rb2 0.500 0.000 0.500
Rb3 0.000 0.500 0.500

Summary:
The calculation puts the total magnetization at 3.1 μB/f.u. Its distance to the lowest polymorph of the same formula is 72.0 meV/atom. The uncorrected energy is -1.931 eV per atom.